A relaxed Tl5Tc crystal. Source: the Alexandria database, functional GGA-PBE.

a = 12.608 Å, b = 12.608 Å, c = 4.765 Å
α = 90.00°, β = 90.00°, γ = 165.96°
Sites, in units of the cell vectors:
Tl  0.000  0.000  0.000
Tl  0.101  0.899  0.500
Tl  0.314  0.686  0.000
Tl  0.686  0.314  0.000
Tl  0.899  0.101  0.500
Tc  0.500  0.500  0.500

Calculated values
Offset from the most stable computed form ... 0.0 kJ/mol of atoms

***

A relaxed Tl5Tc crystal. Source: the Alexandria database, functional GGA-PBE.

a = 6.269 Å, b = 6.269 Å, c = 6.269 Å
α = 60.00°, β = 60.00°, γ = 60.00°
Sites, in units of the cell vectors:
Tl  0.000  0.000  0.000
Tl  0.127  0.624  0.624
Tl  0.624  0.127  0.624
Tl  0.624  0.624  0.127
Tl  0.624  0.624  0.624
Tc  0.250  0.250  0.250

Calculated values
Offset from the most stable computed form ... 42.6 kJ/mol of atoms

***

A relaxed TlTc crystal. Source: the Alexandria database, functional GGA-PBE.

a = 3.527 Å, b = 3.527 Å, c = 7.457 Å
α = 90.00°, β = 90.00°, γ = 90.00°
Sites, in units of the cell vectors:
Tl  0.250  0.250  0.164
Tl  0.750  0.750  0.836
Tc  0.250  0.750  0.500
Tc  0.750  0.250  0.500

Calculated values
Offset from the most stable computed form ... 33.5 kJ/mol of atoms

***

A relaxed Tl2Tc crystal. Source: the Alexandria database, functional GGA-PBE.

a = 13.900 Å, b = 13.900 Å, c = 13.900 Å
α = 166.97°, β = 166.97°, γ = 18.47°
Sites, in units of the cell vectors:
Tl  0.303  0.553  0.750
Tl  0.447  0.697  0.750
Tl  0.553  0.303  0.250
Tl  0.697  0.447  0.250
Tc  0.125  0.875  0.250
Tc  0.875  0.125  0.750

Calculated values
Offset from the most stable computed form ... 26.3 kJ/mol of atoms

***

A relaxed TlTc crystal. Source: the Alexandria database, functional GGA-PBE.

a = 3.055 Å, b = 3.071 Å, c = 8.831 Å
α = 90.00°, β = 99.62°, γ = 90.00°
Sites, in units of the cell vectors:
Tl  0.092  0.250  0.169
Tl  0.908  0.750  0.831
Tc  0.288  0.250  0.579
Tc  0.712  0.750  0.421

Calculated values
Offset from the most stable computed form ... 2.5 kJ/mol of atoms

***

A relaxed Tl5Tc crystal. Source: the Alexandria database, functional GGA-PBE.

a = 6.069 Å, b = 6.069 Å, c = 5.939 Å
α = 90.00°, β = 90.00°, γ = 120.00°
Sites, in units of the cell vectors:
Tl  0.000  0.500  0.000
Tl  0.333  0.667  0.500
Tl  0.500  0.000  0.000
Tl  0.500  0.500  0.000
Tl  0.667  0.333  0.500
Tc  0.000  0.000  0.500

Calculated values
Offset from the most stable computed form ... 50.6 kJ/mol of atoms

***

A relaxed TlTc crystal. Source: the Alexandria database, functional GGA-PBE.

a = 3.100 Å, b = 3.100 Å, c = 8.971 Å
α = 90.00°, β = 90.00°, γ = 120.00°
Sites, in units of the cell vectors:
Tl  0.000  0.000  0.000
Tl  0.000  0.000  0.500
Tc  0.333  0.667  0.250
Tc  0.667  0.333  0.750

Calculated values
Offset from the most stable computed form ... 51.7 kJ/mol of atoms

***

A relaxed TlTc2 crystal. Source: the Alexandria database, functional GGA-PBE.

a = 4.450 Å, b = 4.450 Å, c = 3.057 Å
α = 90.00°, β = 90.00°, γ = 120.00°
Sites, in units of the cell vectors:
Tl  0.000  0.000  0.000
Tc  0.333  0.667  0.500
Tc  0.667  0.333  0.500

Calculated values
Offset from the most stable computed form ... 33.1 kJ/mol of atoms

***

A relaxed TlTc crystal. Source: the Alexandria database, functional GGA-PBE.

a = 3.100 Å, b = 4.917 Å, c = 4.887 Å
α = 90.00°, β = 90.00°, γ = 90.00°
Sites, in units of the cell vectors:
Tl  0.250  0.250  0.098
Tl  0.750  0.750  0.902
Tc  0.250  0.750  0.416
Tc  0.750  0.250  0.584

Calculated values
Offset from the most stable computed form ... 50.6 kJ/mol of atoms

***

A relaxed TlTc2 crystal. Source: the Alexandria database, functional GGA-PBE.

a = 3.543 Å, b = 3.543 Å, c = 4.767 Å
α = 90.00°, β = 90.00°, γ = 90.00°
Sites, in units of the cell vectors:
Tl  0.000  0.000  0.000
Tc  0.000  0.500  0.500
Tc  0.500  0.000  0.500

Calculated values
Offset from the most stable computed form ... 46.1 kJ/mol of atoms

***

A relaxed TlTc2 crystal. Source: the Alexandria database, functional GGA-PBE.

a = 5.497 Å, b = 5.497 Å, c = 7.212 Å
α = 110.25°, β = 110.25°, γ = 30.89°
Sites, in units of the cell vectors:
Tl  0.169  0.169  0.140
Tl  0.831  0.831  0.860
Tc  0.128  0.128  0.524
Tc  0.456  0.456  0.237
Tc  0.544  0.544  0.763
Tc  0.872  0.872  0.476

Calculated values
Offset from the most stable computed form ... 6.3 kJ/mol of atoms

***

A relaxed TlTc crystal. Source: the Alexandria database, functional GGA-PBE.

a = 5.230 Å, b = 3.560 Å, c = 5.292 Å
α = 90.00°, β = 116.56°, γ = 90.00°
Sites, in units of the cell vectors:
Tl  0.087  0.250  0.285
Tl  0.913  0.750  0.715
Tc  0.496  0.750  0.140
Tc  0.504  0.250  0.860

Calculated values
Offset from the most stable computed form ... 34.3 kJ/mol of atoms

***

A relaxed TlTc2 crystal. Source: the Alexandria database, functional GGA-PBE.

a = 5.178 Å, b = 5.178 Å, c = 5.178 Å
α = 146.47°, β = 137.75°, γ = 54.98°
Sites, in units of the cell vectors:
Tl  0.000  0.000  0.000
Tc  0.315  0.315  0.000
Tc  0.685  0.685  0.000

Calculated values
Offset from the most stable computed form ... 16.9 kJ/mol of atoms

***

A relaxed TlTc2 crystal. Source: the Alexandria database, functional GGA-PBE.

a = 6.814 Å, b = 6.814 Å, c = 4.391 Å
α = 90.00°, β = 90.00°, γ = 120.00°
Sites, in units of the cell vectors:
Tl  0.000  0.000  0.000
Tl  0.333  0.667  0.500
Tl  0.667  0.333  0.500
Tc  0.000  0.227  0.500
Tc  0.000  0.433  0.000
Tc  0.227  0.000  0.500
Tc  0.433  0.000  0.000
Tc  0.567  0.567  0.000
Tc  0.773  0.773  0.500

Calculated values
Offset from the most stable computed form ... 72.0 kJ/mol of atoms

***

A relaxed TlTc crystal. Source: the Alexandria database, functional GGA-PBE.

a = 3.295 Å, b = 4.981 Å, c = 5.658 Å
α = 66.63°, β = 88.78°, γ = 84.48°
Sites, in units of the cell vectors:
Tl  0.239  0.080  0.215
Tl  0.761  0.920  0.785
Tc  0.232  0.481  0.657
Tc  0.768  0.519  0.343

Calculated values
Offset from the most stable computed form ... 34.8 kJ/mol of atoms

***

A relaxed TlTc crystal. Source: the Alexandria database, functional GGA-PBE.

a = 5.601 Å, b = 5.601 Å, c = 5.058 Å
α = 111.50°, β = 111.50°, γ = 32.21°
Sites, in units of the cell vectors:
Tl  0.105  0.105  0.313
Tl  0.895  0.895  0.687
Tc  0.339  0.339  0.154
Tc  0.661  0.661  0.846

Calculated values
Offset from the most stable computed form ... 39.6 kJ/mol of atoms

***

A relaxed TlTc crystal. Source: the Alexandria database, functional GGA-PBE.

a = 3.331 Å, b = 3.331 Å, c = 3.331 Å
α = 90.00°, β = 90.00°, γ = 90.00°
Sites, in units of the cell vectors:
Tl  0.000  0.000  0.000
Tc  0.500  0.500  0.500

Calculated values
Offset from the most stable computed form ... 55.4 kJ/mol of atoms

***

A relaxed TlTc2 crystal. Source: the Alexandria database, functional GGA-PBE.

a = 4.395 Å, b = 4.395 Å, c = 6.387 Å
α = 90.00°, β = 90.00°, γ = 120.00°
Sites, in units of the cell vectors:
Tl  0.000  0.000  0.250
Tl  0.000  0.000  0.750
Tc  0.333  0.667  0.036
Tc  0.333  0.667  0.464
Tc  0.667  0.333  0.536
Tc  0.667  0.333  0.964

Calculated values
Offset from the most stable computed form ... 24.8 kJ/mol of atoms

***

A relaxed TlTc2 crystal. Source: the Alexandria database, functional GGA-PBE.

a = 6.291 Å, b = 6.291 Å, c = 6.291 Å
α = 152.56°, β = 152.56°, γ = 39.19°
Sites, in units of the cell vectors:
Tl  0.000  0.000  0.000
Tc  0.311  0.311  0.000
Tc  0.689  0.689  0.000

Calculated values
Offset from the most stable computed form ... 0.0 kJ/mol of atoms

***

A relaxed TlTc7 crystal. Source: the Alexandria database, functional GGA-PBE.

a = 5.580 Å, b = 5.580 Å, c = 5.580 Å
α = 60.00°, β = 60.00°, γ = 60.00°
Sites, in units of the cell vectors:
Tl  0.000  0.000  0.000
Tc  0.000  0.000  0.500
Tc  0.000  0.500  0.000
Tc  0.000  0.500  0.500
Tc  0.500  0.000  0.000
Tc  0.500  0.000  0.500
Tc  0.500  0.500  0.000
Tc  0.500  0.500  0.500

***

In eV per atom, the raw total energy values for the records above are, in order, -3.355; -2.913; -5.710; -4.318; -6.031; -2.830; -5.521; -6.993; -5.533; -6.859; -7.271; -5.702; -7.161; -6.591; -5.696; -5.647; -5.483; -7.080; -7.337; -8.921.
In eV/atom, the ΔH_f (0 K) values for the records above are, in order, 0.345; 0.786; 0.656; 0.715; 0.335; 0.869; 0.845; 0.706; 0.833; 0.841; 0.428; 0.665; 0.538; 1.109; 0.670; 0.719; 0.883; 0.620; 0.363; 0.445.